# Ba2Sr5, optimized geometry, DFT GGA-PBE
# Magnetization ... 0.0 μB per formula unit
# Energy relative to the lowest polymorph listed for this composition ... 4 meV per atom
# Density ... 2.96 Mg/m³
# Formation energy from the elements ... 0.011 eV per atom
# Density of states at the Fermi level ... 19.7 states/eV/cell
data_Ba2Sr5
_space_group_name_H-M_alt 'P 1'
_space_group_IT_number 1
_cell_length_a 7.472
_cell_length_b 11.181
_cell_length_c 10.291
_cell_angle_alpha 92.71
_cell_angle_beta 111.29
_cell_angle_gamma 90.00
loop_
_space_group_symop_operation_xyz
'x,y,z'
loop_
_atom_site_label
_atom_site_fract_x
_atom_site_fract_y
_atom_site_fract_z
_atom_site_occupancy
Ba1 0.260 0.393 0.855 1
Ba2 0.404 0.107 0.145 1
Ba3 0.740 0.607 0.145 1
Ba4 0.596 0.893 0.855 1
Sr1 0.311 0.464 0.291 1
Sr2 0.021 0.036 0.709 1
Sr3 0.118 0.679 0.572 1
Sr4 0.546 0.821 0.428 1
Sr5 0.882 0.321 0.428 1
Sr6 0.454 0.179 0.572 1
Sr7 0.979 0.964 0.291 1
Sr8 0.689 0.536 0.709 1
Sr9 0.833 0.250 0.000 1
Sr10 0.167 0.750 0.000 1